# Mn3TcSb

A crystal of Mn3TcSb relaxed with PBEsol (meta-GGA SCAN, Alexandria).

Cell lengths 4.7305, 4.7305, 4.7305 Å; angles 90.00, 90.00, 90.00 degrees
Last column: nearest neighbours and their distance in Å.
Space group Pm-3m (No. 221)
Symmetry-distinct sites (fractional):
Mn (0.0000, 0.0000, 0.5000) (multiplicity 3)  2 Sb 2.37
Tc (0.5000, 0.5000, 0.5000) (multiplicity 1)  12 Mn 3.34
Sb (0.0000, 0.0000, 0.0000) (multiplicity 1)  6 Mn 2.37

Properties
Fermi-level density of states, states/eV/cell: 6.4
Total DFT energy (no corrections), eV per atom: -24.057
E_form (uncorrected), eV/atom: 1.360
Calculated volume, Å³ per cell: 105.85

# MnTcSb2

A crystal of MnTcSb2 relaxed with PBEsol (meta-GGA SCAN, Alexandria).

Cell lengths 3.1779, 3.1779, 6.3447 Å; angles 90.00, 90.00, 90.00 degrees
Last column: nearest neighbours and their distance in Å.
Space group P4/mmm (No. 123)
Symmetry-distinct sites (fractional):
Mn (0.0000, 0.0000, 0.0000) (multiplicity 1)  8 Sb 2.73
Tc (0.0000, 0.0000, 0.5000) (multiplicity 1)  8 Sb 2.77
Sb (0.5000, 0.5000, 0.2438) (multiplicity 2)  4 Mn 2.73, 4 Tc 2.77

Properties
Fermi-level density of states, states/eV/cell: 2.3
Total DFT energy (no corrections), eV per atom: -31.624
E_form (uncorrected), eV/atom: 0.335
Calculated volume, Å³ per cell: 64.07

# MnTc2Sb

A crystal of MnTc2Sb relaxed with PBEsol (meta-GGA SCAN, Alexandria).

Cell lengths 4.3434, 4.3434, 3.1431 Å; angles 90.00, 90.00, 90.00 degrees
Last column: nearest neighbours and their distance in Å.
Space group P4/mmm (No. 123)
Symmetry-distinct sites (fractional):
Mn (0.0000, 0.0000, 0.0000) (multiplicity 1)  8 Tc 2.68
Tc (0.0000, 0.5000, 0.5000) (multiplicity 2)  4 Mn 2.68, 4 Sb 2.68
Sb (0.5000, 0.5000, 0.0000) (multiplicity 1)  8 Tc 2.68

Properties
Fermi-level density of states, states/eV/cell: 3.2
Total DFT energy (no corrections), eV per atom: -31.468
E_form (uncorrected), eV/atom: -0.059
Calculated volume, Å³ per cell: 59.30